(1)
VASP calculation (PBE) on a relaxed structure of Re2IrAuF.

* total magnetization: 0.000 μB/atom
* ΔE_f (raw): 1.389 eV/atom
* N(E_F): 5.69 states/eV/f.u.

CIF file:
```
data_Re2IrAuF
_cell_length_a 4.8246
_cell_length_b 4.8246
_cell_length_c 3.8507
_cell_angle_alpha 90.00
_cell_angle_beta 90.00
_cell_angle_gamma 90.00
_symmetry_space_group_name_H-M 'P 4/m m m'
_symmetry_Int_Tables_number 123
_symmetry_space_group_name_Hall '-P 4 2'
loop_
_atom_site_label
_atom_site_type_symbol
_atom_site_fract_x
_atom_site_fract_y
_atom_site_fract_z
_atom_site_occupancy
Re1 Re 0.0000 0.5000 0.0000 1
Ir1 Ir 0.0000 0.0000 0.0000 1
Au1 Au 0.5000 0.5000 0.5000 1
F1 F 0.0000 0.0000 0.5000 1
```

---

(2)
VASP calculation (PBE) on a relaxed structure of IrAuSe2F.

* total magnetization: 0.000 μB/atom
* ΔE_f (raw): 0.362 eV/atom
* N(E_F): 4.86 states/eV/f.u.

CIF file:
```
data_IrAuSe2F
_cell_length_a 4.7284
_cell_length_b 4.7284
_cell_length_c 5.3027
_cell_angle_alpha 90.00
_cell_angle_beta 90.00
_cell_angle_gamma 90.00
_symmetry_space_group_name_H-M 'P 4/m m m'
_symmetry_Int_Tables_number 123
_symmetry_space_group_name_Hall '-P 4 2'
loop_
_atom_site_label
_atom_site_type_symbol
_atom_site_fract_x
_atom_site_fract_y
_atom_site_fract_z
_atom_site_occupancy
Ir1 Ir 0.0000 0.0000 0.0000 1
Au1 Au 0.0000 0.0000 0.5000 1
Se1 Se 0.0000 0.5000 0.0000 1
F1 F 0.5000 0.5000 0.5000 1
```

---

(3)
VASP calculation (PBE) on a relaxed structure of Si2IrAuF.

* total magnetization: 0.001 μB/atom
* ΔE_f (raw): 0.029 eV/atom
* N(E_F): 4.46 states/eV/f.u.

CIF file:
```
data_Si2IrAuF
_cell_length_a 4.5108
_cell_length_b 4.5108
_cell_length_c 5.2593
_cell_angle_alpha 90.00
_cell_angle_beta 90.00
_cell_angle_gamma 90.00
_symmetry_space_group_name_H-M 'P 4/m m m'
_symmetry_Int_Tables_number 123
_symmetry_space_group_name_Hall '-P 4 2'
loop_
_atom_site_label
_atom_site_type_symbol
_atom_site_fract_x
_atom_site_fract_y
_atom_site_fract_z
_atom_site_occupancy
Si1 Si 0.0000 0.5000 0.0000 1
Ir1 Ir 0.0000 0.0000 0.0000 1
Au1 Au 0.0000 0.0000 0.5000 1
F1 F 0.5000 0.5000 0.5000 1
```

---

(4)
VASP calculation (PBE) on a relaxed structure of TcIr2AuF.

* total magnetization: 0.888 μB/atom
* ΔE_f (raw): 1.708 eV/atom
* N(E_F): 7.12 states/eV/f.u.

CIF file:
```
data_TcIr2AuF
_cell_length_a 4.9797
_cell_length_b 4.9797
_cell_length_c 3.9347
_cell_angle_alpha 90.00
_cell_angle_beta 90.00
_cell_angle_gamma 90.00
_symmetry_space_group_name_H-M 'P 4/m m m'
_symmetry_Int_Tables_number 123
_symmetry_space_group_name_Hall '-P 4 2'
loop_
_atom_site_label
_atom_site_type_symbol
_atom_site_fract_x
_atom_site_fract_y
_atom_site_fract_z
_atom_site_occupancy
Tc1 Tc 0.0000 0.0000 0.0000 1
Ir1 Ir 0.0000 0.5000 0.5000 1
Au1 Au 0.5000 0.5000 0.5000 1
F1 F 0.5000 0.5000 0.0000 1
```

---

(5)
VASP calculation (PBE) on a relaxed structure of YIrAu2F.

* total magnetization: 0.011 μB/atom
* ΔE_f (raw): -0.127 eV/atom
* N(E_F): 3.84 states/eV/f.u.

CIF file:
```
data_YIrAu2F
_cell_length_a 5.0125
_cell_length_b 5.0125
_cell_length_c 5.2516
_cell_angle_alpha 90.00
_cell_angle_beta 90.00
_cell_angle_gamma 90.00
_symmetry_space_group_name_H-M 'P 4/m m m'
_symmetry_Int_Tables_number 123
_symmetry_space_group_name_Hall '-P 4 2'
loop_
_atom_site_label
_atom_site_type_symbol
_atom_site_fract_x
_atom_site_fract_y
_atom_site_fract_z
_atom_site_occupancy
Y1 Y 0.0000 0.0000 0.0000 1
Ir1 Ir 0.0000 0.0000 0.5000 1
Au1 Au 0.0000 0.5000 0.5000 1
F1 F 0.5000 0.5000 0.0000 1
```

---

(6)
VASP calculation (PBE) on a relaxed structure of K3AuF.

* total magnetization: 0.000 μB/atom
* energy above the most stable polymorph in this dataset: 0.43 kcal/mol of atoms
* ΔE_f (raw): -1.157 eV/atom
* N(E_F): 1.45 states/eV/f.u.

CIF file:
```
data_K3AuF
_cell_length_a 9.5580
_cell_length_b 4.2010
_cell_length_c 15.6123
_cell_angle_alpha 90.00
_cell_angle_beta 90.00
_cell_angle_gamma 90.00
_symmetry_space_group_name_H-M 'P n m a'
_symmetry_Int_Tables_number 62
_symmetry_space_group_name_Hall '-P 2ac 2n'
loop_
_atom_site_label
_atom_site_type_symbol
_atom_site_fract_x
_atom_site_fract_y
_atom_site_fract_z
_atom_site_occupancy
K1 K 0.0186 0.2500 0.1045 1
K2 K 0.1773 0.2500 0.5087 1
K3 K 0.2153 0.7500 0.2959 1
Au1 Au 0.0735 0.7500 0.6706 1
F1 F 0.1402 0.2500 0.9491 1
```

---

(7)
VASP calculation (PBE) on a relaxed structure of KAuF4.

* total magnetization: 0.000 μB/atom
* ΔE_f (raw): -1.788 eV/atom
* N(E_F): 0.00 states/eV/f.u.

CIF file:
```
data_KAuF4
_cell_length_a 6.1777
_cell_length_b 6.1777
_cell_length_c 11.5433
_cell_angle_alpha 90.00
_cell_angle_beta 90.00
_cell_angle_gamma 90.00
_symmetry_space_group_name_H-M 'I 4/m c m'
_symmetry_Int_Tables_number 140
_symmetry_space_group_name_Hall '-I 4 2c'
loop_
_atom_site_label
_atom_site_type_symbol
_atom_site_fract_x
_atom_site_fract_y
_atom_site_fract_z
_atom_site_occupancy
K1 K 0.0000 0.0000 0.2500 1
Au1 Au 0.0000 0.5000 0.0000 1
F1 F 0.1605 0.3395 0.1196 1
```

---

(8)
VASP calculation (PBE) on a relaxed structure of K2AuF.

* total magnetization: 0.000 μB/atom
* energy above the most stable polymorph in this dataset: 0.74 kcal/mol of atoms
* ΔE_f (raw): -1.431 eV/atom

CIF file:
```
data_K2AuF
_cell_length_a 4.1308
_cell_length_b 4.1308
_cell_length_c 22.5563
_cell_angle_alpha 90.00
_cell_angle_beta 90.00
_cell_angle_gamma 120.00
_symmetry_space_group_name_H-M 'R -3 m'
_symmetry_Int_Tables_number 166
_symmetry_space_group_name_Hall '-R 3 2"'
loop_
_atom_site_label
_atom_site_type_symbol
_atom_site_fract_x
_atom_site_fract_y
_atom_site_fract_z
_atom_site_occupancy
K1 K 0.0000 0.0000 0.2325 1
Au1 Au 0.0000 0.0000 0.0000 1
F1 F 0.0000 0.0000 0.5000 1
```

---

(9)
VASP calculation (PBE) on a relaxed structure of KAuF2.

* total magnetization: 0.000 μB/atom
* energy above the most stable polymorph in this dataset: 0.00 kcal/mol of atoms
* ΔE_f (raw): -1.738 eV/atom
* N(E_F): 0.00 states/eV/f.u.

CIF file:
```
data_KAuF2
_cell_length_a 4.0463
_cell_length_b 4.0463
_cell_length_c 13.2124
_cell_angle_alpha 90.00
_cell_angle_beta 90.00
_cell_angle_gamma 120.00
_symmetry_space_group_name_H-M 'P 63/m m c'
_symmetry_Int_Tables_number 194
_symmetry_space_group_name_Hall '-P 6c 2c'
loop_
_atom_site_label
_atom_site_type_symbol
_atom_site_fract_x
_atom_site_fract_y
_atom_site_fract_z
_atom_site_occupancy
K1 K 0.0000 0.0000 0.0000 1
Au1 Au 0.3333 0.6667 0.2500 1
F1 F 0.3333 0.6667 0.0968 1
```

---

(10)
VASP calculation (PBE) on a relaxed structure of K2AuF.

* total magnetization: 0.000 μB/atom
* energy above the most stable polymorph in this dataset: 1.78 kcal/mol of atoms
* ΔE_f (raw): -1.387 eV/atom
* N(E_F): 0.24 states/eV/f.u.

CIF file:
```
data_K2AuF
_cell_length_a 3.4986
_cell_length_b 3.4986
_cell_length_c 7.7633
_cell_angle_alpha 90.00
_cell_angle_beta 90.00
_cell_angle_gamma 90.00
_symmetry_space_group_name_H-M 'P 4/m m m'
_symmetry_Int_Tables_number 123
_symmetry_space_group_name_Hall '-P 4 2'
loop_
_atom_site_label
_atom_site_type_symbol
_atom_site_fract_x
_atom_site_fract_y
_atom_site_fract_z
_atom_site_occupancy
K1 K 0.0000 0.0000 0.2051 1
Au1 Au 0.5000 0.5000 0.5000 1
F1 F 0.5000 0.5000 0.0000 1
```

---

(11)
VASP calculation (PBE) on a relaxed structure of K3AuF.

* total magnetization: 0.000 μB/atom
* energy above the most stable polymorph in this dataset: 0.78 kcal/mol of atoms
* ΔE_f (raw): -1.141 eV/atom
* N(E_F): 2.61 states/eV/f.u.

CIF file:
```
data_K3AuF
_cell_length_a 14.8356
_cell_length_b 10.7753
_cell_length_c 4.5925
_cell_angle_alpha 90.00
_cell_angle_beta 90.46
_cell_angle_gamma 90.00
_symmetry_space_group_name_H-M 'C 1 2/m 1'
_symmetry_Int_Tables_number 12
_symmetry_space_group_name_Hall '-C 2y'
loop_
_atom_site_label
_atom_site_type_symbol
_atom_site_fract_x
_atom_site_fract_y
_atom_site_fract_z
_atom_site_occupancy
K1 K 0.1042 0.0000 0.2880 1
K2 K 0.1241 0.3084 0.7131 1
Au1 Au 0.2324 0.5000 0.2152 1
F1 F 0.0000 0.1682 0.5000 1
```

---

(12)
VASP calculation (PBE) on a relaxed structure of K6Au3F2.

* total magnetization: 0.000 μB/atom
* ΔE_f (raw): -1.130 eV/atom
* N(E_F): 3.53 states/eV/f.u.

CIF file:
```
data_K6Au3F2
_cell_length_a 5.2031
_cell_length_b 5.2031
_cell_length_c 26.9359
_cell_angle_alpha 90.00
_cell_angle_beta 90.00
_cell_angle_gamma 90.00
_symmetry_space_group_name_H-M 'I 4/m m m'
_symmetry_Int_Tables_number 139
_symmetry_space_group_name_Hall '-I 4 2'
loop_
_atom_site_label
_atom_site_type_symbol
_atom_site_fract_x
_atom_site_fract_y
_atom_site_fract_z
_atom_site_occupancy
K1 K 0.0000 0.0000 0.1977 1
K2 K 0.0000 0.5000 0.0848 1
Au1 Au 0.0000 0.0000 0.3262 1
Au2 Au 0.0000 0.0000 0.5000 1
F1 F 0.0000 0.0000 0.1008 1
```

---

Total DFT energy (no corrections) values (in eV per atom) by entry order: -6.39, -3.83, -4.94, -4.94, -4.88, -2.85, -3.76, -3.27, -3.77, -3.22, -2.83, -2.96.